The following is a DFT calculation (PBE-GGA) of an optimized crystal structure of HfZrNi2.

CIF file:
```
data_HfZrNi2
_chemical_formula_sum 'Hf1 Zr1 Ni2'
_cell_length_a 3.281
_cell_length_b 4.086
_cell_length_c 5.223
_cell_angle_alpha 90.00
_cell_angle_beta 108.63
_cell_angle_gamma 90.00
_space_group_name_H-M_alt 'P 1'
_space_group_IT_number 1
loop_
_space_group_symop_operation_xyz
'x,y,z'
loop_
_atom_site_label
_atom_site_type_symbol
_atom_site_fract_x
_atom_site_fract_y
_atom_site_fract_z
_atom_site_occupancy
Hf1 Hf 0.443 0.500 0.427 1
Zr1 Zr 0.725 0.000 0.986 1
Ni1 Ni 0.166 0.500 0.869 1
Ni2 Ni 0.998 0.000 0.536 1
```

Calculated values
uncorrected energy: -32.0 eV per cell
V: 16.59 A^3/atom


The following is a DFT calculation (PBE-GGA) of an optimized crystal structure of Ac2VBi.

CIF file:
```
data_Ac2VBi
_chemical_formula_sum 'Ac2 V1 Bi1'
_cell_length_a 3.646
_cell_length_b 3.646
_cell_length_c 12.234
_cell_angle_alpha 81.43
_cell_angle_beta 81.43
_cell_angle_gamma 60.00
_space_group_name_H-M_alt 'P 1'
_space_group_IT_number 1
loop_
_space_group_symop_operation_xyz
'x,y,z'
loop_
_atom_site_label
_atom_site_type_symbol
_atom_site_fract_x
_atom_site_fract_y
_atom_site_fract_z
_atom_site_occupancy
Ac1 Ac 0.084 0.084 0.747 1
Ac2 Ac 0.916 0.916 0.253 1
Bi1 Bi 0.500 0.500 0.500 1
V1 V 0.000 0.000 0.000 1
```

Calculated values
V: 34.69 A^3/atom
polymorph energy (0 for the lowest one): 601.0 meV/atom


The following is a DFT calculation (PBE-GGA) of an optimized crystal structure of MnBe2Ru.

CIF file:
```
data_MnBe2Ru
_chemical_formula_sum 'Mn1 Be2 Ru1'
_cell_length_a 3.911
_cell_length_b 3.911
_cell_length_c 3.911
_cell_angle_alpha 60.00
_cell_angle_beta 60.00
_cell_angle_gamma 60.00
_space_group_name_H-M_alt 'P 1'
_space_group_IT_number 1
loop_
_space_group_symop_operation_xyz
'x,y,z'
loop_
_atom_site_label
_atom_site_type_symbol
_atom_site_fract_x
_atom_site_fract_y
_atom_site_fract_z
_atom_site_occupancy
Ru1 Ru 0.750 0.750 0.750 1
Mn1 Mn 0.250 0.250 0.250 1
Be1 Be 0.500 0.500 0.500 1
Be2 Be 0.000 0.000 0.000 1
```

Calculated values
uncorrected energy: -26.8 eV per cell
V: 10.57 A^3/atom


The following is a DFT calculation (PBE-GGA) of an optimized crystal structure of ZrIr2Ru.

CIF file:
```
data_ZrIr2Ru
_chemical_formula_sum 'Zr1 Ir2 Ru1'
_cell_length_a 4.519
_cell_length_b 4.519
_cell_length_c 4.519
_cell_angle_alpha 60.00
_cell_angle_beta 60.00
_cell_angle_gamma 60.00
_space_group_name_H-M_alt 'P 1'
_space_group_IT_number 1
loop_
_space_group_symop_operation_xyz
'x,y,z'
loop_
_atom_site_label
_atom_site_type_symbol
_atom_site_fract_x
_atom_site_fract_y
_atom_site_fract_z
_atom_site_occupancy
Ir1 Ir 0.000 0.000 0.000 1
Ir2 Ir 0.250 0.250 0.250 1
Ru1 Ru 0.500 0.500 0.500 1
Zr1 Zr 0.750 0.750 0.750 1
```

Calculated values
V: 16.31 A^3/atom
polymorph energy (0 for the lowest one): 480.0 meV/atom


The following is a DFT calculation (PBE-GGA) of an optimized crystal structure of Dy3Tm7Th.

CIF file:
```
data_Dy3Tm7Th
_chemical_formula_sum 'Dy3 Tm7 Th1'
_cell_length_a 8.566
_cell_length_b 6.956
_cell_length_c 6.956
_cell_angle_alpha 120.00
_cell_angle_beta 90.00
_cell_angle_gamma 90.00
_space_group_name_H-M_alt 'P 1'
_space_group_IT_number 1
loop_
_space_group_symop_operation_xyz
'x,y,z'
loop_
_atom_site_label
_atom_site_type_symbol
_atom_site_fract_x
_atom_site_fract_y
_atom_site_fract_z
_atom_site_occupancy
Dy1 Dy 0.782 0.499 0.501 1
Dy2 Dy 0.782 0.499 0.998 1
Dy3 Dy 0.782 0.002 0.501 1
Tm1 Tm 0.121 0.169 0.831 1
Tm2 Tm 0.121 0.169 0.338 1
Tm3 Tm 0.116 0.667 0.333 1
Tm4 Tm 0.447 0.833 0.167 1
Tm5 Tm 0.447 0.335 0.167 1
Tm6 Tm 0.447 0.833 0.665 1
Tm7 Tm 0.121 0.662 0.831 1
Th1 Th 0.448 0.333 0.667 1
```

Calculated values
V: 32.63 A^3/atom
polymorph energy (0 for the lowest one): 30.3 meV/atom


The following is a DFT calculation (PBE-GGA) of an optimized crystal structure of CdRh3.

CIF file:
```
data_CdRh3
_chemical_formula_sum 'Cd1 Rh3'
_cell_length_a 2.812
_cell_length_b 2.812
_cell_length_c 7.834
_cell_angle_alpha 90.00
_cell_angle_beta 90.00
_cell_angle_gamma 90.00
_space_group_name_H-M_alt 'P 1'
_space_group_IT_number 1
loop_
_space_group_symop_operation_xyz
'x,y,z'
loop_
_atom_site_label
_atom_site_type_symbol
_atom_site_fract_x
_atom_site_fract_y
_atom_site_fract_z
_atom_site_occupancy
Rh1 Rh 0.000 0.000 0.500 1
Rh2 Rh 0.500 0.500 0.270 1
Rh3 Rh 0.500 0.500 0.730 1
Cd1 Cd 0.000 0.000 0.000 1
```

Calculated values
uncorrected energy: -22.9 eV per cell
V: 15.49 A^3/atom


The following is a DFT calculation (PBE-GGA) of an optimized crystal structure of BaSrLa2.

CIF file:
```
data_BaSrLa2
_chemical_formula_sum 'Ba1 Sr1 La2'
_cell_length_a 13.539
_cell_length_b 13.539
_cell_length_c 13.539
_cell_angle_alpha 16.69
_cell_angle_beta 16.69
_cell_angle_gamma 16.69
_space_group_name_H-M_alt 'P 1'
_space_group_IT_number 1
loop_
_space_group_symop_operation_xyz
'x,y,z'
loop_
_atom_site_label
_atom_site_type_symbol
_atom_site_fract_x
_atom_site_fract_y
_atom_site_fract_z
_atom_site_occupancy
Ba1 Ba 0.750 0.750 0.750 1
La1 La 0.999 0.999 0.999 1
La2 La 0.501 0.501 0.501 1
Sr1 Sr 0.250 0.250 0.250 1
```

Calculated values
V: 44.65 A^3/atom
polymorph energy (0 for the lowest one): 100.2 meV/atom


The following is a DFT calculation (PBE-GGA) of an optimized crystal structure of Ta2CdAg.

CIF file:
```
data_Ta2CdAg
_chemical_formula_sum 'Ta2 Cd1 Ag1'
_cell_length_a 2.866
_cell_length_b 2.866
_cell_length_c 8.934
_cell_angle_alpha 90.00
_cell_angle_beta 90.00
_cell_angle_gamma 90.00
_space_group_name_H-M_alt 'P 1'
_space_group_IT_number 1
loop_
_space_group_symop_operation_xyz
'x,y,z'
loop_
_atom_site_label
_atom_site_type_symbol
_atom_site_fract_x
_atom_site_fract_y
_atom_site_fract_z
_atom_site_occupancy
Cd1 Cd 0.500 0.500 0.750 1
Ag1 Ag 0.500 0.500 0.250 1
Ta1 Ta 0.000 0.000 0.008 1
Ta2 Ta 0.000 0.000 0.492 1
```

Calculated values
uncorrected energy: -26.0 eV per cell
V: 18.34 A^3/atom


The following is a DFT calculation (PBE-GGA) of an optimized crystal structure of AcPmHg3.

CIF file:
```
data_AcPmHg3
_chemical_formula_sum 'Ac2 Pm2 Hg6'
_cell_length_a 5.627
_cell_length_b 6.459
_cell_length_c 9.512
_cell_angle_alpha 109.85
_cell_angle_beta 107.22
_cell_angle_gamma 90.00
_space_group_name_H-M_alt 'P 1'
_space_group_IT_number 1
loop_
_space_group_symop_operation_xyz
'x,y,z'
loop_
_atom_site_label
_atom_site_type_symbol
_atom_site_fract_x
_atom_site_fract_y
_atom_site_fract_z
_atom_site_occupancy
Ac1 Ac 0.169 0.419 0.838 1
Ac2 Ac 0.831 0.581 0.162 1
Pm1 Pm 0.393 0.143 0.286 1
Pm2 Pm 0.607 0.857 0.714 1
Hg1 Hg 0.790 0.040 0.079 1
Hg2 Hg 0.210 0.960 0.921 1
Hg3 Hg 0.419 0.669 0.338 1
Hg4 Hg 0.581 0.331 0.662 1
Hg5 Hg 0.023 0.772 0.545 1
Hg6 Hg 0.977 0.228 0.455 1
```

Calculated values
V: 30.87 A^3/atom
polymorph energy (0 for the lowest one): 139.5 meV/atom


The following is a DFT calculation (PBE-GGA) of an optimized crystal structure of Dy2Al5Pt3.

CIF file:
```
data_Dy2Al5Pt3
_chemical_formula_sum 'Dy4 Al10 Pt6'
_cell_length_a 4.314
_cell_length_b 6.735
_cell_length_c 12.724
_cell_angle_alpha 90.00
_cell_angle_beta 99.76
_cell_angle_gamma 90.00
_space_group_name_H-M_alt 'P 1'
_space_group_IT_number 1
loop_
_space_group_symop_operation_xyz
'x,y,z'
loop_
_atom_site_label
_atom_site_type_symbol
_atom_site_fract_x
_atom_site_fract_y
_atom_site_fract_z
_atom_site_occupancy
Dy1 Dy 0.482 0.760 0.963 1
Dy2 Dy 0.175 0.727 0.349 1
Dy3 Dy 0.825 0.227 0.651 1
Dy4 Dy 0.518 0.260 0.037 1
Al1 Al 0.398 0.408 0.797 1
Al2 Al 0.289 0.513 0.578 1
Al3 Al 0.711 0.013 0.422 1
Al4 Al 0.126 0.252 0.252 1
Al5 Al 0.293 0.916 0.586 1
Al6 Al 0.946 0.086 0.892 1
Al7 Al 0.707 0.416 0.414 1
Al8 Al 0.874 0.752 0.748 1
Al9 Al 0.054 0.586 0.108 1
Al10 Al 0.602 0.908 0.203 1
Pt1 Pt 0.773 0.711 0.546 1
Pt2 Pt 0.608 0.516 0.215 1
Pt3 Pt 0.050 0.977 0.100 1
Pt4 Pt 0.227 0.211 0.454 1
Pt5 Pt 0.950 0.477 0.900 1
Pt6 Pt 0.392 0.016 0.785 1
```

Calculated values
uncorrected energy: -112.6 eV per cell
V: 18.22 A^3/atom


The following is a DFT calculation (PBE-GGA) of an optimized crystal structure of Ce2MnCo.

CIF file:
```
data_Ce2MnCo
_chemical_formula_sum 'Ce2 Mn1 Co1'
_cell_length_a 3.440
_cell_length_b 4.756
_cell_length_c 4.756
_cell_angle_alpha 90.00
_cell_angle_beta 90.00
_cell_angle_gamma 90.00
_space_group_name_H-M_alt 'P 1'
_space_group_IT_number 1
loop_
_space_group_symop_operation_xyz
'x,y,z'
loop_
_atom_site_label
_atom_site_type_symbol
_atom_site_fract_x
_atom_site_fract_y
_atom_site_fract_z
_atom_site_occupancy
Mn1 Mn 0.500 0.000 0.000 1
Co1 Co 0.500 0.500 0.500 1
Ce1 Ce 0.000 0.000 0.500 1
Ce2 Ce 0.000 0.500 0.000 1
```

Calculated values
V: 19.46 A^3/atom
polymorph energy (0 for the lowest one): 0.0 meV/atom


The following is a DFT calculation (PBE-GGA) of an optimized crystal structure of AcTb6Pm2Y.

CIF file:
```
data_AcTb6Pm2Y
_chemical_formula_sum 'Ac2 Tb12 Pm4 Y2'
_cell_length_a 9.689
_cell_length_b 8.994
_cell_length_c 8.994
_cell_angle_alpha 118.45
_cell_angle_beta 93.05
_cell_angle_gamma 93.05
_space_group_name_H-M_alt 'P 1'
_space_group_IT_number 1
loop_
_space_group_symop_operation_xyz
'x,y,z'
loop_
_atom_site_label
_atom_site_type_symbol
_atom_site_fract_x
_atom_site_fract_y
_atom_site_fract_z
_atom_site_occupancy
Ac1 Ac 0.250 0.975 0.025 1
Ac2 Ac 0.750 0.025 0.975 1
Tb1 Tb 0.057 0.131 0.746 1
Tb2 Tb 0.443 0.254 0.869 1
Tb3 Tb 0.943 0.869 0.254 1
Tb4 Tb 0.557 0.746 0.131 1
Tb5 Tb 0.316 0.980 0.438 1
Tb6 Tb 0.184 0.562 0.020 1
Tb7 Tb 0.684 0.020 0.562 1
Tb8 Tb 0.816 0.438 0.980 1
Tb9 Tb 0.118 0.711 0.496 1
Tb10 Tb 0.382 0.504 0.289 1
Tb11 Tb 0.882 0.289 0.504 1
Tb12 Tb 0.618 0.496 0.711 1
Pm1 Pm 0.454 0.801 0.686 1
Pm2 Pm 0.046 0.314 0.199 1
Pm3 Pm 0.546 0.199 0.314 1
Pm4 Pm 0.954 0.686 0.801 1
Y1 Y 0.250 0.410 0.590 1
Y2 Y 0.750 0.590 0.410 1
```

Calculated values
uncorrected energy: -93.3 eV per cell
V: 34.27 A^3/atom